Below is a relaxed structure of Pm2Pr8Dy3, with properties calculated at the PBE-GGA level.

POSCAR file:
```
Pm2Pr8Dy3
1.0
6.7706 -5.9567 0.0000
6.7706 5.9567 0.0000
-2.4885 0.0000 5.6706
Pm Pr Dy
2 8 3
Direct
0.1907 0.1907 0.3398
0.8093 0.8093 0.6602
0.0844 0.0844 0.7605
0.0978 0.5766 0.3425
0.3612 0.3612 0.8982
0.4234 0.9022 0.6575
0.5766 0.0978 0.3425
0.6388 0.6388 0.1018
0.9022 0.4234 0.6575
0.9156 0.9156 0.2395
0.2342 0.7658 0.0000
0.5000 0.5000 0.5000
0.7658 0.2342 0.0000
```

## Properties
Calculated total energy, eV per atom: -4.58
Formation enthalpy at 0 K, eV/atom: 0.157